# 1
The following is a DFT calculation (PBE-GGA) of crystalline CoSn3Sb at its relaxed geometry.

The crystal system is monoclinic. Its raw formation energy is 0.015 eV per atom. The energy above the most stable polymorph in this dataset is 0.0 meV per atom. The density of states at the Fermi level is 0.580 states/eV per atom.

It has space group C2/m (No. 12), with a = 10.579 Å, b = 8.479 Å, c = 6.571 Å, α = 90.00°, β = 127.64° and γ = 90.00°. The distinct sites, in fractional coordinates, are Co at (0.245, 0.000, 0.131), Sn at (0.046, 0.500, 0.325), Sn at (0.248, 0.301, 0.218) and Sb at (0.049, 0.000, 0.271).

---

# 2
The following is a DFT calculation (PBE-GGA) of crystalline YMgPb2 at its relaxed geometry.

The crystal system is orthorhombic. The uncorrected energy comes out at -4.0797 eV per atom. The density of states at the Fermi level is 0.704 states/eV per atom.

It has space group Cmmm (No. 65), with a = 4.787 Å, b = 5.148 Å, c = 8.896 Å, α = 90.00°, β = 90.00° and γ = 90.00°. The distinct sites, in fractional coordinates, are Y at (0.000, 0.000, 0.000), Mg at (0.000, 0.000, 0.500) and Pb at (0.000, 0.500, 0.263).

---

# 3
The following is a DFT calculation (PBE-GGA) of crystalline DyMoS at its relaxed geometry.

The crystal system is tetragonal. Its raw formation energy is -0.959 eV per atom. The density of states at the Fermi level is 0.562 states/eV per atom.

It has space group P4/nmm (No. 129, origin choice 2), with a = 3.660 Å, b = 3.660 Å, c = 8.746 Å, α = 90.00°, β = 90.00° and γ = 90.00°. The distinct sites, in fractional coordinates, are Dy at (0.250, 0.250, 0.200), Mo at (0.250, 0.250, 0.568) and S at (0.250, 0.250, 0.859).

---

# 4
The following is a DFT calculation (PBE-GGA) of crystalline HoErMg3 at its relaxed geometry.

The crystal system is trigonal. The energy above the most stable polymorph in this dataset is 73.1 meV per atom. The density of states at the Fermi level is 1.110 states/eV per atom.

It has space group R-3m (No. 166, hexagonal axes), with a = 6.1589 Å, b = 6.1589 Å, c = 24.6614 Å, α = 90.00°, β = 90.00° and γ = 120.00°. The distinct sites, in fractional coordinates, are Ho at (0.0000, 0.0000, 0.1648), Er at (0.0000, 0.0000, 0.4328) and Mg at (0.0067, 0.5033, 0.3821).

---

# 5
The following is a DFT calculation (PBE-GGA) of crystalline Tc2IO at its relaxed geometry.

The crystal system is tetragonal. Its raw formation energy is 0.201 eV per atom. The energy above the most stable polymorph in this dataset is 0.0 meV per atom. The density of states at the Fermi level is 0.580 states/eV per atom.

It has space group I-42d (No. 122), with a = 4.460 Å, b = 4.460 Å, c = 14.095 Å, α = 90.00°, β = 90.00° and γ = 90.00°. The distinct sites, in fractional coordinates, are Tc at (0.121, 0.250, 0.125), I at (0.000, 0.000, 0.500) and O at (0.000, 0.000, 0.000).

---

# 6
The following is a DFT calculation (PBE-GGA) of crystalline Sm4CoSb at its relaxed geometry.

The crystal system is monoclinic. Its raw formation energy is -0.420 eV per atom. The energy above the most stable polymorph in this dataset is 0.0 meV per atom. The density of states at the Fermi level is 0.923 states/eV per atom.

It has space group P2_1/m (No. 11), with a = 6.152 Å, b = 6.660 Å, c = 8.777 Å, α = 90.00°, β = 109.99° and γ = 90.00°. The distinct sites, in fractional coordinates, are Sm at (0.018, 0.001, 0.207), Sm at (0.400, 0.750, 0.624), Sm at (0.442, 0.750, 0.086), Co at (0.259, 0.250, 0.069) and Sb at (0.214, 0.250, 0.550).